Density functional theory data (PBE-GGA) for a relaxed CuPOs2Pb crystal.

Computed properties:
For the formation energy from the elements, the calculation gives 275.84 kJ/mol of atoms. The calculation puts the electronic total energy at -0.15713 Ha/atom.

abc: 5.064 5.063 5.064
angles: 90.00 90.00 90.00
Element x y z (fractional)
Cu1 0.500 0.500 0.500
Os1 0.500 0.000 0.000
Os2 0.000 0.000 0.500
P1 0.000 0.500 0.000
Pb1 0.000 0.000 0.000